A plane-wave DFT calculation with PBE was carried out for a relaxed structure of BC4.

Summary:
distance to the lowest polymorph of the same formula = 82 meV per atom
energy of formation from the pure elements = 0.31 eV per atom
SG = I4_1/a
total magnetization = 0.0 μB/f.u.
Fermi-level density of states = 0.232 states/eV per atom
final energy = -84.080 eV per cell

Cell: 4.487 4.487 4.487 Å, 99.39 99.39 132.35°
Element x y z (fractional)
B  0.375  0.125  0.250
B  0.625  0.875  0.750
C  0.010  0.660  0.940
C  0.160  0.720  0.650
C  0.220  0.070  0.560
C  0.430  0.490  0.150
C  0.570  0.510  0.850
C  0.780  0.930  0.440
C  0.840  0.280  0.350
C  0.990  0.340  0.060